A) The following is a PBE calculation of an optimized crystal structure of Pm2EuSi, from the Alexandria database.

The space group is P4/mmm (No. 123) and the conventional cell measures 4.833, 4.833 and 4.641 Å, with angles of 90.00, 90.00 and 90.00 degrees. The inequivalent atoms are Pm at (0.000, 0.500, 0.000), Eu at (0.000, 0.000, 0.500) and Si at (0.500, 0.500, 0.500).

The density of states at the Fermi level comes out at 1.0160 states/eV per atom.

=====

B) The following is a PBE calculation of an optimized crystal structure of Pm2EuSi, from the Alexandria database.

The space group is R-3m (No. 166, hexagonal axes) and the conventional cell measures 4.1377, 4.1377 and 29.1261 Å, with angles of 90.00, 90.00 and 120.00 degrees. The inequivalent atoms are Pm at (0.0000, 0.0000, 0.2224), Eu at (0.0000, 0.0000, 0.0000) and Si at (0.0000, 0.0000, 0.5000).

The density of states at the Fermi level comes out at 1.2264 states/eV per atom.

=====

Least stable of them? B).

=====

A) The following is a PBE calculation of an optimized crystal structure of Pm2EuSi, from the Alexandria database.

The space group is P4/mmm (No. 123) and the conventional cell measures 3.856, 3.856 and 8.121 Å, with angles of 90.00, 90.00 and 90.00 degrees. The inequivalent atoms are Pm at (0.000, 0.000, 0.184), Eu at (0.500, 0.500, 0.500) and Si at (0.500, 0.500, 0.000).

The density of states at the Fermi level comes out at 1.2565 states/eV per atom.

=====

B) The following is a PBE calculation of an optimized crystal structure of Pm2EuSi, from the Alexandria database.

The space group is Fm-3m (No. 225) and the conventional cell measures 7.570, 7.570 and 7.570 Å, with angles of 90.00, 90.00 and 90.00 degrees. The inequivalent atoms are Pm at (0.250, 0.250, 0.250), Eu at (0.000, 0.000, 0.000) and Si at (0.000, 0.000, 0.500).

The density of states at the Fermi level comes out at 1.4230 states/eV per atom.

=====

Least stable of them? B).

=====

A) The following is a PBE calculation of an optimized crystal structure of Pm2SmEu, from the Alexandria database.

The space group is Fm-3m (No. 225) and the conventional cell measures 8.284, 8.284 and 8.284 Å, with angles of 90.00, 90.00 and 90.00 degrees. The inequivalent atoms are Pm at (0.250, 0.250, 0.250), Sm at (0.000, 0.000, 0.000) and Eu at (0.000, 0.000, 0.500).

The density of states at the Fermi level comes out at 1.5744 states/eV per atom.

=====

B) The following is a PBE calculation of an optimized crystal structure of Pm2SmEu, from the Alexandria database.

The space group is P4/mmm (No. 123) and the conventional cell measures 3.689, 3.689 and 10.504 Å, with angles of 90.00, 90.00 and 90.00 degrees. The inequivalent atoms are Pm at (0.000, 0.000, 0.237), Sm at (0.500, 0.500, 0.000) and Eu at (0.500, 0.500, 0.500).

The density of states at the Fermi level comes out at 1.2829 states/eV per atom.

=====

C) The following is a PBE calculation of an optimized crystal structure of Pm2SmEu, from the Alexandria database.

The space group is P4/mmm (No. 123) and the conventional cell measures 5.211, 5.211 and 5.199 Å, with angles of 90.00, 90.00 and 90.00 degrees. The inequivalent atoms are Pm at (0.000, 0.500, 0.000), Sm at (0.000, 0.000, 0.500) and Eu at (0.500, 0.500, 0.500).

The density of states at the Fermi level comes out at 1.4921 states/eV per atom.

=====

Least stable of them? A).

=====

A) The following is a PBE calculation of an optimized crystal structure of PmEuSn, from the Alexandria database.

The space group is P3m1 (No. 156) and the conventional cell measures 5.3246, 5.3246 and 3.7981 Å, with angles of 90.00, 90.00 and 120.00 degrees. The inequivalent atoms are Pm at (0.0000, 0.0000, 0.0000), Eu at (0.6667, 0.3333, 0.4170) and Sn at (0.3333, 0.6667, 0.7394).

The density of states at the Fermi level comes out at 0.9539 states/eV per atom.

=====

B) The following is a PBE calculation of an optimized crystal structure of PmEuSn, from the Alexandria database.

The space group is I4mm (No. 107) and the conventional cell measures 4.229, 4.229 and 10.202 Å, with angles of 90.00, 90.00 and 90.00 degrees. The inequivalent atoms are Pm at (0.000, 0.000, 0.000), Eu at (0.000, 0.000, 0.307) and Sn at (0.000, 0.000, 0.646).

The density of states at the Fermi level comes out at 1.0319 states/eV per atom.

=====

Least stable of them? A).

=====

A) The following is a PBE calculation of an optimized crystal structure of SrPm2Eu, from the Alexandria database.

The space group is P4/mmm (No. 123) and the conventional cell measures 6.124, 6.124 and 4.220 Å, with angles of 90.00, 90.00 and 90.00 degrees. The inequivalent atoms are Sr at (0.000, 0.000, 0.000), Pm at (0.000, 0.500, 0.500) and Eu at (0.500, 0.500, 0.000).

The density of states at the Fermi level comes out at 1.4748 states/eV per atom.

=====

B) The following is a PBE calculation of an optimized crystal structure of SrPm2Eu, from the Alexandria database.

The space group is P4/mmm (No. 123) and the conventional cell measures 3.777, 3.777 and 10.968 Å, with angles of 90.00, 90.00 and 90.00 degrees. The inequivalent atoms are Sr at (0.000, 0.000, 0.000), Pm at (0.500, 0.500, 0.266) and Eu at (0.000, 0.000, 0.500).

The density of states at the Fermi level comes out at 1.3823 states/eV per atom.

=====

C) The following is a PBE calculation of an optimized crystal structure of SrPm2Eu, from the Alexandria database.

The space group is R-3m (No. 166, hexagonal axes) and the conventional cell measures 3.7147, 3.7147 and 40.0476 Å, with angles of 90.00, 90.00 and 120.00 degrees. The inequivalent atoms are Sr at (0.0000, 0.0000, 0.0000), Pm at (0.0000, 0.0000, 0.0902) and Eu at (0.0000, 0.0000, 0.5000).

The density of states at the Fermi level comes out at 1.5261 states/eV per atom.

=====

Least stable of them? C).

=====

A) The following is a PBE calculation of an optimized crystal structure of Sr2PmEu, from the Alexandria database.

The space group is P4/mmm (No. 123) and the conventional cell measures 3.982, 3.982 and 11.419 Å, with angles of 90.00, 90.00 and 90.00 degrees. The inequivalent atoms are Sr at (0.000, 0.000, 0.236), Pm at (0.500, 0.500, 0.000) and Eu at (0.500, 0.500, 0.500).

The density of states at the Fermi level comes out at 1.4955 states/eV per atom.

=====

B) The following is a PBE calculation of an optimized crystal structure of Sr2PmEu, from the Alexandria database.

The space group is P4/mmm (No. 123) and the conventional cell measures 6.358, 6.358 and 4.407 Å, with angles of 90.00, 90.00 and 90.00 degrees. The inequivalent atoms are Sr at (0.000, 0.500, 0.000), Pm at (0.000, 0.000, 0.500) and Eu at (0.500, 0.500, 0.500).

The density of states at the Fermi level comes out at 1.0856 states/eV per atom.

=====

C) The following is a PBE calculation of an optimized crystal structure of Sr2PmEu, from the Alexandria database.

The space group is R-3m (No. 166, hexagonal axes) and the conventional cell measures 3.8624, 3.8624 and 42.1901 Å, with angles of 90.00, 90.00 and 120.00 degrees. The inequivalent atoms are Sr at (0.0000, 0.0000, 0.0861), Pm at (0.0000, 0.0000, 0.0000) and Eu at (0.0000, 0.0000, 0.5000).

The density of states at the Fermi level comes out at 2.3107 states/eV per atom.

=====

Least stable of them? C).